First-principles (PBE) data for a relaxed Ti6ZnPt2 crystal, as listed in Alexandria.

Cell and atoms, written as extended XYZ:
```
9
Lattice="6.798 -3.929 0.000 6.798 3.929 0.000 -0.009 0.000 2.674" Properties=species:S:1:pos:R:3 pbc="T T T"
Ti 4.471 1.360 2.364
Ti 6.798 2.630 0.000
Ti 9.115 1.360 0.310
Ti 4.471 -1.360 2.364
Ti 6.798 -2.630 0.000
Ti 9.115 -1.360 0.310
Zn 6.793 0.000 1.337
Pt 2.229 0.000 1.352
Pt 11.357 0.000 1.323
```

Properties
- magnetization (μB/cell) = 0.6
- density of states at the Fermi level (states/eV/f.u.) = 12.059
- final energy (eV per atom) = -6.991